DFT (PBE-GGA) results for crystalline Sr3Zn3Rh at its relaxed geometry.

Unit cell a=6.2087 b=6.2087 c=15.8893 alpha=106.51 beta=106.51 gamma=41.52
Closest atoms and distances in Å follow each position.
Sites, in units of the cell vectors:
Sr (0.0248, 0.0248, 0.3907)  5 Zn 3.21-3.35, 3 Rh 3.23-3.45
Sr (0.1079, 0.1079, 0.9208)  7 Zn 3.25-3.44
Sr (0.2521, 0.2521, 0.2440)  6 Zn 3.19-3.50, 2 Rh 3.21
Sr (0.7479, 0.7479, 0.7560)  6 Zn 3.19-3.50, 2 Rh 3.21
Sr (0.8921, 0.8921, 0.0792)  7 Zn 3.25-3.44
Sr (0.9752, 0.9752, 0.6093)  5 Zn 3.21-3.35, 3 Rh 3.23-3.45
Zn (0.3148, 0.3148, 0.4625)  3 Rh 2.59-2.63
Zn (0.4018, 0.4018, 0.9201)  2 Zn 2.73-2.85
Zn (0.4487, 0.4487, 0.7616)  1 Rh 2.56, 1 Zn 2.73
Zn (0.5513, 0.5513, 0.2384)  1 Rh 2.56, 1 Zn 2.73
Zn (0.5982, 0.5982, 0.0799)  2 Zn 2.73-2.85
Zn (0.6852, 0.6852, 0.5375)  3 Rh 2.59-2.63
Rh (0.2748, 0.2748, 0.6164)  4 Zn 2.56-2.63
Rh (0.7252, 0.7252, 0.3836)  4 Zn 2.56-2.63

VASP energy, eV for the cell shown: -36.61
Mass density, g cm⁻³: 4.83
Energy of formation from the pure elements, eV per atom: -0.298
Volume, A^3/atom: 27.63